Here is CsRbHfI6 after structural relaxation from Alexandria. Energies are from PBE.

Results
Size of the total moment = 0.0 Bohr magnetons per cell
VASP energy = -3.527 eV/atom

a = 8.9437 Å, b = 8.9437 Å, c = 14.4961 Å
α = 90.00°, β = 90.00°, γ = 120.00°
Space group P-31c (No. 163)
One atom of each set of equivalent atoms:
Cs  0.0000  0.0000  0.0000
Rb  0.3333  0.6667  0.2500
Hf  0.3333  0.6667  0.7500
I  0.0703  0.4091  0.6350